PBE-GGA Ba2URuS6, optimized geometry; ΔE_f (raw) = -14.12 eV/f.u.; DFT total energy = -6.3292 eV per atom
1.0
6.953 0.000 0.000
0.000 6.952 0.000
0.000 0.000 9.836
Ru S Ba U
2 12 4 2
direct
0.500 0.250 0.000
0.000 0.750 0.500
0.758 0.508 0.500
0.742 0.492 0.000
0.242 0.508 0.500
0.000 0.750 0.742
0.258 0.492 0.000
0.500 0.250 0.242
0.500 0.250 0.758
0.758 0.991 0.500
0.742 0.009 0.000
0.000 0.750 0.258
0.242 0.991 0.500
0.258 0.009 0.000
0.000 0.250 0.750
0.000 0.250 0.250
0.500 0.750 0.250
0.500 0.750 0.750
0.500 0.250 0.500
0.000 0.750 0.000



PBE-GGA SmAl20V2, optimized geometry; energy of formation from the pure elements = -0.202 eV per atom; DFT total energy = -4.4540 eV per atom
1.0
-8.184 -2.313 5.774
-3.669 -9.602 0.103
1.112 -5.837 8.388
Al V Sm
40 4 2
direct
0.138 0.138 0.862
0.299 0.568 0.834
0.951 0.951 0.416
0.416 0.682 0.951
0.862 0.138 0.138
0.951 0.416 0.682
0.625 0.625 0.125
0.416 0.951 0.951
0.112 0.112 0.388
0.138 0.862 0.138
0.112 0.388 0.112
0.568 0.834 0.299
0.951 0.682 0.951
0.862 0.862 0.138
0.568 0.299 0.834
0.125 0.625 0.625
0.682 0.951 0.951
0.682 0.951 0.416
0.416 0.951 0.682
0.625 0.125 0.625
0.388 0.112 0.112
0.625 0.625 0.625
0.299 0.299 0.568
0.834 0.299 0.299
0.951 0.682 0.416
0.112 0.388 0.388
0.138 0.862 0.862
0.834 0.568 0.299
0.388 0.388 0.112
0.682 0.416 0.951
0.862 0.138 0.862
0.951 0.951 0.682
0.834 0.299 0.568
0.951 0.416 0.951
0.299 0.568 0.299
0.299 0.834 0.568
0.388 0.112 0.388
0.299 0.299 0.834
0.299 0.834 0.299
0.568 0.299 0.299
0.125 0.125 0.125
0.125 0.625 0.125
0.125 0.125 0.625
0.625 0.125 0.125
0.500 0.500 0.500
0.750 0.750 0.750



PBE-GGA TcGeN2F, optimized geometry; offset from the most stable computed form = 0 meV/atom; ΔE_f (raw) = 0.69 eV/f.u.; DFT total energy = -6.5629 eV per atom
1.0
-0.166 -3.870 0.526
3.838 -0.259 -0.696
0.767 0.516 4.036
F N Ge Tc
1 2 1 1
direct
0.000 0.000 0.500
0.500 0.000 0.000
0.000 0.500 0.000
0.500 0.500 0.500
0.000 0.000 0.000



PBE-GGA BeSiP2O, optimized geometry; offset from the most stable computed form = 0 meV/atom; ΔE_f (raw) = 0.10 eV/f.u.; DFT total energy = -4.9655 eV per atom
1.0
-3.288 -3.483 -0.716
1.161 -1.973 4.268
-2.016 1.636 1.304
Be P Si O
1 2 1 1
direct
0.000 0.000 0.000
0.000 0.500 0.000
0.500 0.000 0.000
0.500 0.500 0.500
0.000 0.000 0.500



PBE-GGA AlInMo3, optimized geometry; energy of formation from the pure elements = 2.295 eV per atom; offset from the most stable computed form = 998 meV/atom; DFT total energy = -5.4997 eV per atom
1.0
-1.525 -2.690 -3.755
4.068 -2.655 0.249
-2.187 -3.062 3.082
Mo In Al
3 1 1
direct
0.500 0.000 0.000
0.000 0.500 0.000
0.000 0.000 0.500
0.000 0.000 0.000
0.500 0.500 0.500



PBE-GGA AcSb2O6, optimized geometry; ΔE_f (raw) = -17.79 eV/f.u.; DFT total energy = -6.6552 eV per atom
1.0
-5.061 2.213 -0.488
-5.333 -4.543 3.217
-1.957 3.872 6.373
O Sb Ac
12 4 2
direct
0.578 0.292 0.420
0.521 0.606 0.106
0.417 0.082 0.207
0.583 0.918 0.793
0.021 0.106 0.606
0.078 0.420 0.292
0.917 0.207 0.082
0.979 0.894 0.394
0.083 0.793 0.918
0.479 0.394 0.894
0.922 0.580 0.708
0.422 0.708 0.580
0.002 0.833 0.666
0.502 0.666 0.833
0.998 0.167 0.334
0.498 0.334 0.167
0.250 0.248 0.752
0.750 0.752 0.248